Li2Be2W: relaxed, GGA-PBE.

Values from the calculation:
- Energy relative to the elements: 0.480 eV/atom
- DOS(E_F): 0.546 states/eV/atom
- Energy above the most stable polymorph in this dataset: 144 meV/atom
- Energy: -4.37 eV/atom
- Crystal system: tetragonal
- Calculated volume: 119.3 Å³ per cell

Cell lengths 6.8337, 6.8337, 2.5545 Å; angles 90.00, 90.00, 90.00 degrees
Fractional coordinates of all 10 atoms:
1 Li 0.1302 0.3698 0.0000
2 Li 0.3698 0.8698 0.0000
3 Li 0.6302 0.1302 0.0000
4 Li 0.8698 0.6302 0.0000
5 Be 0.1744 0.6744 0.5000
6 Be 0.3256 0.1744 0.5000
7 Be 0.6744 0.8256 0.5000
8 Be 0.8256 0.3256 0.5000
9 W 0.0000 0.0000 0.5000
10 W 0.5000 0.5000 0.5000

=====

MnRe2Rh: relaxed, GGA-PBE.

Values from the calculation:
- Energy relative to the elements: -0.003 eV/atom
- DOS(E_F): 0.816 states/eV/atom
- Energy above the most stable polymorph in this dataset: 22 meV/atom
- Energy: -10.36 eV/atom
- Crystal system: tetragonal
- Calculated volume: 55.7 Å³ per cell

Cell lengths 4.7276, 4.7276, 4.7276 Å; angles 132.88, 132.88, 68.84 degrees
Fractional coordinates of all 4 atoms:
1 Mn 0.0000 0.0000 0.0000
2 Re 0.2500 0.7500 0.5000
3 Re 0.7500 0.2500 0.5000
4 Rh 0.5000 0.5000 0.0000

=====

CaOs2NCl: relaxed, GGA-PBE.

Values from the calculation:
- Uncorrected formation energy: -0.040 eV per atom
- DOS(E_F): 0.643 states/eV/atom
- Energy: -6.97 eV/atom
- Crystal system: tetragonal
- Calculated volume: 93.9 Å³ per cell

Cell lengths 3.8857, 3.8857, 6.2205 Å; angles 90.00, 90.00, 90.00 degrees
Fractional coordinates of all 5 atoms:
1 Ca 0.0000 0.0000 0.0000
2 Os 0.0000 0.5000 0.5000
3 Os 0.5000 0.0000 0.5000
4 N 0.0000 0.0000 0.5000
5 Cl 0.5000 0.5000 0.0000

=====

VCrGa2S: relaxed, GGA-PBE.

Values from the calculation:
- Uncorrected formation energy: 0.592 eV per atom
- DOS(E_F): 0.729 states/eV/atom
- Energy: -5.19 eV/atom
- Crystal system: tetragonal
- Calculated volume: 97.8 Å³ per cell

Cell lengths 4.7781, 4.7781, 4.2848 Å; angles 90.00, 90.00, 90.00 degrees
Fractional coordinates of all 5 atoms:
1 V 0.0000 0.0000 0.0000
2 Cr 0.0000 0.0000 0.5000
3 Ga 0.0000 0.5000 0.5000
4 Ga 0.5000 0.0000 0.5000
5 S 0.5000 0.5000 0.0000

=====

RhPb2N2: relaxed, GGA-PBE.

Values from the calculation:
- Uncorrected formation energy: 0.048 eV per atom
- DOS(E_F): 0.552 states/eV/atom
- Energy: -6.24 eV/atom
- Crystal system: monoclinic
- Calculated volume: 124.0 Å³ per cell

Cell lengths 3.3648, 3.3648, 10.9493 Å; angles 90.40, 90.40, 90.01 degrees
Fractional coordinates of all 5 atoms:
1 Rh 0.0000 0.0000 0.0000
2 Pb 0.4964 0.4964 0.8427
3 Pb 0.5036 0.5036 0.1573
4 N 0.0024 0.0024 0.4490
5 N 0.9976 0.9976 0.5510

=====

InAs2Os: relaxed, GGA-PBE.

Values from the calculation:
- Energy relative to the elements: 0.148 eV/atom
- DOS(E_F): 0.618 states/eV/atom
- Energy: -5.67 eV/atom
- Crystal system: monoclinic
- Calculated volume: 84.7 Å³ per cell

Cell lengths 3.8814, 3.8814, 7.7559 Å; angles 90.52, 90.52, 46.50 degrees
Fractional coordinates of all 4 atoms:
1 In 0.0000 0.0000 0.0000
2 As 0.2038 0.2038 0.6768
3 As 0.7962 0.7962 0.3232
4 Os 0.5000 0.5000 0.5000

=====

TlBrF2: relaxed, GGA-PBE.

Values from the calculation:
- Uncorrected formation energy: -1.318 eV per atom
- Energy above the most stable polymorph in this dataset: 21 meV/atom
- Energy: -3.26 eV/atom
- Crystal system: triclinic
- Calculated volume: 231.4 Å³ per cell

Cell lengths 3.7708, 7.3687, 8.8944 Å; angles 110.24, 93.18, 90.29 degrees
Fractional coordinates of all 8 atoms:
1 Tl 0.0000 0.0000 0.0000
2 Tl 0.4949 0.5076 0.9845
3 Br 0.1116 0.2858 0.4198
4 Br 0.2952 0.1614 0.6177
5 F 0.0042 0.3064 0.1020
6 F 0.4777 0.0470 0.8624
7 F 0.5180 0.9313 0.1204
8 F 0.9822 0.6965 0.8777

=====

MoRuW2: relaxed, GGA-PBE.

Values from the calculation:
- Energy relative to the elements: 0.247 eV/atom
- DOS(E_F): 1.026 states/eV/atom
- Energy above the most stable polymorph in this dataset: 134 meV/atom
- Energy: -11.26 eV/atom
- Crystal system: tetragonal
- Calculated volume: 62.6 Å³ per cell

Cell lengths 4.8811, 4.8811, 4.8811 Å; angles 132.19, 132.19, 69.93 degrees
Fractional coordinates of all 4 atoms:
1 Mo 0.0000 0.0000 0.0000
2 Ru 0.5000 0.5000 0.0000
3 W 0.2500 0.7500 0.5000
4 W 0.7500 0.2500 0.5000